Sm6Cd2Ga: optimized geometry, GGA-PBE.

POSCAR file:
```
Sm6Cd2Ga
1.0
-1.483 2.488 8.388
8.298 -3.127 -0.339
-1.239 6.985 -5.331
Cd Sm Ga
4 12 2
direct
0.500 0.358 0.858 Cd
0.638 0.000 0.638 Cd
0.500 0.642 0.142 Cd
0.362 0.000 0.362 Cd
0.082 0.257 0.826 Sm
0.192 0.740 0.933 Sm
0.739 0.410 0.671 Sm
0.192 0.260 0.452 Sm
0.569 0.743 0.826 Sm
0.431 0.257 0.174 Sm
0.261 0.590 0.329 Sm
0.808 0.260 0.067 Sm
0.808 0.740 0.548 Sm
0.261 0.932 0.671 Sm
0.918 0.743 0.174 Sm
0.739 0.068 0.329 Sm
0.000 0.000 0.000 Ga
0.000 0.500 0.500 Ga
```

space group = No. 71
E_form = -19 kJ per mole of atoms